No. 1
First-principles (PBE) data for crystalline Al2SnAu at its relaxed geometry, as listed in Alexandria via LeMat-Bulk.

The space group is R3m (No. 160, hexagonal axes) and the conventional cell measures 4.2160, 4.2160 and 16.7977 Å, with angles of 90.00, 90.00 and 120.00 degrees. The asymmetric unit holds Al at (0.0000, 0.0000, 0.0000), Al at (0.0000, 0.0000, 0.2111), Sn at (0.0000, 0.0000, 0.4324) and Au at (0.0000, 0.0000, 0.6045).


No. 2
First-principles (PBE) data for crystalline AlSnAu2 at its relaxed geometry, as listed in Alexandria via LeMat-Bulk.

Its energy above the most stable polymorph in this dataset is 229.9 meV per atom.

The space group is Fm-3m (No. 225) and the conventional cell measures 6.832, 6.832 and 6.832 Å, with angles of 90.00, 90.00 and 90.00 degrees. The asymmetric unit holds Al at (0.000, 0.000, 0.000), Sn at (0.000, 0.000, 0.500) and Au at (0.250, 0.250, 0.250).


No. 3
First-principles (PBE) data for crystalline AlSn2Au5 at its relaxed geometry, as listed in Alexandria via LeMat-Bulk.

The space group is C2/m (No. 12) and the conventional cell measures 9.169, 7.076 and 5.230 Å, with angles of 90.00, 96.57 and 90.00 degrees. The asymmetric unit holds Al at (0.000, 0.000, 0.000), Sn at (0.170, 0.500, 0.335), Au at (0.000, 0.000, 0.500) and Au at (0.122, 0.299, 0.821).


No. 4
First-principles (PBE) data for crystalline Al2Sn2Au at its relaxed geometry, as listed in Alexandria via LeMat-Bulk.

Its energy above the most stable polymorph in this dataset is 0.0 meV per atom.

The space group is P4/mbm (No. 127) and the conventional cell measures 6.762, 6.762 and 4.838 Å, with angles of 90.00, 90.00 and 90.00 degrees. The asymmetric unit holds Al at (0.140, 0.360, 0.000), Sn at (0.173, 0.673, 0.500) and Au at (0.000, 0.000, 0.000).


No. 5
First-principles (PBE) data for crystalline AlSnAu at its relaxed geometry, as listed in Alexandria via LeMat-Bulk.

The space group is Pnma (No. 62) and the conventional cell measures 6.489, 5.788 and 6.602 Å, with angles of 90.00, 90.00 and 90.00 degrees. The asymmetric unit holds Al at (0.000, 0.000, 0.000), Sn at (0.107, 0.250, 0.384) and Au at (0.203, 0.750, 0.307).


No. 6
First-principles (PBE) data for crystalline Al2Sn2Au at its relaxed geometry, as listed in Alexandria via LeMat-Bulk.

Its energy above the most stable polymorph in this dataset is 161.7 meV per atom.

The space group is I4/mmm (No. 139) and the conventional cell measures 3.707, 3.707 and 16.654 Å, with angles of 90.00, 90.00 and 90.00 degrees. The asymmetric unit holds Al at (0.000, 0.500, 0.250), Sn at (0.000, 0.000, 0.099) and Au at (0.000, 0.000, 0.500).


Number 1: E_tot -3.792 eV/atom, formation energy from the elements -0.101 eV/atom. Number 2: E_tot -3.603 eV/atom, formation energy from the elements -0.028 eV/atom. Number 3: E_tot -3.640 eV/atom, formation energy from the elements -0.123 eV/atom. Number 4: E_tot -3.770 eV/atom, formation energy from the elements -0.016 eV/atom. Number 5: E_tot -3.804 eV/atom, formation energy from the elements -0.130 eV/atom. Number 6: E_tot -3.608 eV/atom, formation energy from the elements 0.145 eV/atom.